VASP calculation (GGA-PBE) on an optimized crystal structure of Rb7HgAu3.

- E_form (eV per atom) = -0.15

Cell lengths 8.529, 8.439, 8.529 Å; angles 102.47, 99.25, 102.47 degrees
Sites, in units of the cell vectors:
Hg (0.500, 0.500, 0.500)
Rb (0.033, 0.275, 0.618)
Rb (0.967, 0.725, 0.382)
Rb (0.618, 0.275, 0.033)
Rb (0.154, 0.220, 0.154)
Au (0.221, 0.000, 0.779)
Au (0.779, 0.000, 0.221)
Rb (0.846, 0.780, 0.846)
Rb (0.500, 0.000, 0.500)
Rb (0.382, 0.725, 0.967)
Au (0.000, 0.500, 0.000)